Record 1
The following is a GGA-PBE calculation of crystalline Na4Cr at its relaxed geometry, from the Alexandria database.

Unit cell a=5.914 b=5.914 c=5.914 alpha=90.00 beta=90.00 gamma=90.00
Site moments in Bohr magnetons follow the coordinates.
Fractional positions:
Cr 0.500 0.500 0.500  4.26
Na 0.000 0.000 0.000  -0.01
Na 0.500 0.000 0.500  0.02
Na 0.000 0.500 0.500  0.02
Na 0.500 0.500 0.000  0.02

Calculated values
- Raw total energy: -2.362 eV/atom
- Crystal system: cubic
- Energy of formation: 0.62 eV per atom
- SG: Pm-3m (221)
- Total magnetic moment: 5.2 μB per cell

Record 2
The following is a GGA-PBE calculation of crystalline NaNbCr2 at its relaxed geometry, from the Alexandria database.

Unit cell a=3.849 b=3.849 c=9.557 alpha=78.38 beta=78.38 gamma=90.00
Fractional positions:
Cr 0.705 0.125 0.250
Cr 0.045 0.625 0.250
Cr 0.375 0.295 0.750
Cr 0.875 0.955 0.750
Nb 0.000 0.000 0.000
Nb 0.750 0.250 0.500
Na 0.500 0.500 0.000
Na 0.250 0.750 0.500

Calculated values
- Raw total energy: -6.243 eV/atom
- Crystal system: tetragonal
- Energy of formation: 1.42 eV per atom
- Excess energy over the best structure of this formula in the dataset: 506 meV/atom
- SG: I-42d (122)
- Total magnetic moment: 0.0 μB per cell

Record 3
The following is a GGA-PBE calculation of crystalline NaNb2Cr at its relaxed geometry, from the Alexandria database.

Unit cell a=4.556 b=4.556 c=4.556 alpha=60.00 beta=60.00 gamma=60.00
Fractional positions:
Cr 0.500 0.500 0.500
Nb 0.250 0.250 0.250
Nb 0.750 0.750 0.750
Na 0.000 0.000 0.000

Calculated values
- Raw total energy: -6.964 eV/atom
- Crystal system: cubic
- Energy of formation: 0.81 eV per atom
- Excess energy over the best structure of this formula in the dataset: 0 meV/atom
- SG: Fm-3m (225)
- Total magnetic moment: 0.0 μB per cell

Record 4
The following is a GGA-PBE calculation of crystalline NaNb2Cr at its relaxed geometry, from the Alexandria database.

Unit cell a=3.910 b=3.910 c=10.666 alpha=79.44 beta=79.44 gamma=90.00
Site moments in Bohr magnetons follow the coordinates.
Fractional positions:
Cr 0.000 0.000 0.000  3.40
Cr 0.750 0.250 0.500  3.40
Nb 0.640 0.125 0.250  -0.43
Nb 0.110 0.625 0.250  -0.43
Nb 0.375 0.360 0.750  -0.42
Nb 0.875 0.890 0.750  -0.42
Na 0.500 0.500 0.000  0.00
Na 0.250 0.750 0.500  0.00

Calculated values
- Raw total energy: -6.630 eV/atom
- Crystal system: tetragonal
- Energy of formation: 1.14 eV per atom
- Excess energy over the best structure of this formula in the dataset: 334 meV/atom
- SG: I-42d (122)
- Total magnetic moment: 5.5 μB per cell

Record 5
The following is a GGA-PBE calculation of crystalline Na3NbCr at its relaxed geometry, from the Alexandria database.

Unit cell a=5.080 b=5.080 c=5.080 alpha=90.00 beta=90.00 gamma=90.00
Site moments in Bohr magnetons follow the coordinates.
Fractional positions:
Cr 0.000 0.000 0.000  4.28
Nb 0.500 0.500 0.500  -2.82
Na 0.000 0.500 0.000  0.03
Na 0.000 0.000 0.500  0.01
Na 0.500 0.000 0.000  0.05

Calculated values
- Raw total energy: -3.108 eV/atom
- Crystal system: cubic
- Energy of formation: 1.62 eV per atom
- Excess energy over the best structure of this formula in the dataset: 0 meV/atom
- SG: Pm-3m (221)
- Total magnetic moment: 1.0 μB per cell

Record 6
The following is a GGA-PBE calculation of crystalline NaNbCr2 at its relaxed geometry, from the Alexandria database.

Unit cell a=4.573 b=4.573 c=4.573 alpha=60.00 beta=60.00 gamma=60.00
Site moments in Bohr magnetons follow the coordinates.
Fractional positions:
Cr 0.250 0.250 0.250  2.86
Cr 0.750 0.750 0.750  2.86
Nb 0.500 0.500 0.500  -1.03
Na 0.000 0.000 0.000  0.01

Calculated values
- Raw total energy: -6.750 eV/atom
- Crystal system: cubic
- Energy of formation: 0.91 eV per atom
- Excess energy over the best structure of this formula in the dataset: 0 meV/atom
- SG: Fm-3m (225)
- Total magnetic moment: 5.2 μB per cell

Record 7
The following is a GGA-PBE calculation of crystalline NaNbCr3 at its relaxed geometry, from the Alexandria database.

Unit cell a=4.873 b=4.873 c=4.873 alpha=90.00 beta=90.00 gamma=90.00
Site moments in Bohr magnetons follow the coordinates.
Fractional positions:
Cr 0.000 0.500 0.000  3.16
Cr 0.000 0.000 0.500  2.87
Cr 0.500 0.000 0.000  3.54
Nb 0.000 0.000 0.000  -0.90
Na 0.500 0.500 0.500  0.00

Calculated values
- Raw total energy: -6.647 eV/atom
- Crystal system: cubic
- Energy of formation: 1.40 eV per atom
- Excess energy over the best structure of this formula in the dataset: 0 meV/atom
- SG: Pm-3m (221)
- Total magnetic moment: 9.8 μB per cell

Record 8
The following is a GGA-PBE calculation of crystalline Na3NbCr at its relaxed geometry, from the Alexandria database.

Unit cell a=5.908 b=5.908 c=5.908 alpha=90.00 beta=90.00 gamma=90.00
Site moments in Bohr magnetons follow the coordinates.
Fractional positions:
Cr 0.500 0.500 0.500  4.31
Nb 0.000 0.000 0.000  3.27
Na 0.000 0.500 0.000  0.04
Na 0.000 0.000 0.500  0.03
Na 0.500 0.000 0.000  0.05

Calculated values
- Raw total energy: -3.010 eV/atom
- Crystal system: cubic
- Energy of formation: 1.72 eV per atom
- Excess energy over the best structure of this formula in the dataset: 98 meV/atom
- SG: Pm-3m (221)
- Total magnetic moment: 10.2 μB per cell